# RbZrPd | OQMD | GGA-PBE | relaxed
# - mass density (Mg/m³) = 5.50
# - E above lowest polymorph (kJ/mol of formula units) = 0
# - calculated volume (Å³ per cell) = 342.0
data_RbZrPd
_symmetry_space_group_name_H-M 'F -4 3 m'
_symmetry_Int_Tables_number 216
_symmetry_space_group_name_Hall 'F -4 2 3'
_cell_length_a 6.993
_cell_length_b 6.993
_cell_length_c 6.993
_cell_angle_alpha 90.00
_cell_angle_beta 90.00
_cell_angle_gamma 90.00
loop_
_atom_site_label
_atom_site_type_symbol
_atom_site_fract_x
_atom_site_fract_y
_atom_site_fract_z
_atom_site_occupancy
Rb1 Rb 0.000 0.000 0.000 1
Zr1 Zr 0.000 0.000 0.500 1
Pd1 Pd 0.250 0.250 0.250 1

=====

# PrCdTe | OQMD | GGA-PBE | relaxed
# - mass density (Mg/m³) = 6.12
# - E above lowest polymorph (kJ/mol of formula units) = 24
# - calculated volume (Å³ per cell) = 413.5
data_PrCdTe
_symmetry_space_group_name_H-M 'F -4 3 m'
_symmetry_Int_Tables_number 216
_symmetry_space_group_name_Hall 'F -4 2 3'
_cell_length_a 7.450
_cell_length_b 7.450
_cell_length_c 7.450
_cell_angle_alpha 90.00
_cell_angle_beta 90.00
_cell_angle_gamma 90.00
loop_
_atom_site_label
_atom_site_type_symbol
_atom_site_fract_x
_atom_site_fract_y
_atom_site_fract_z
_atom_site_occupancy
Pr1 Pr 0.000 0.000 0.000 1
Cd1 Cd 0.000 0.000 0.500 1
Te1 Te 0.250 0.250 0.750 1

=====

# TlCuTcNi | OQMD | GGA-PBE | relaxed
# - mass density (Mg/m³) = 11.74
# - E above lowest polymorph (kJ/mol of formula units) = 0
# - calculated volume (Å³ per cell) = 240.3
data_TlCuTcNi
_symmetry_space_group_name_H-M 'F -4 3 m'
_symmetry_Int_Tables_number 216
_symmetry_space_group_name_Hall 'F -4 2 3'
_cell_length_a 6.217
_cell_length_b 6.217
_cell_length_c 6.217
_cell_angle_alpha 90.00
_cell_angle_beta 90.00
_cell_angle_gamma 90.00
loop_
_atom_site_label
_atom_site_type_symbol
_atom_site_fract_x
_atom_site_fract_y
_atom_site_fract_z
_atom_site_occupancy
Tl1 Tl 0.000 0.000 0.000 1
Cu1 Cu 0.250 0.250 0.250 1
Tc1 Tc 0.000 0.000 0.500 1
Ni1 Ni 0.250 0.250 0.750 1

=====

# ErZn2Pd3 | OQMD | GGA-PBE | relaxed
# - mass density (Mg/m³) = 10.00
# - calculated volume (Å³ per cell) = 204.9
# - DFT formation energy (eV/atom) = -0.723
data_ErZn2Pd3
_symmetry_space_group_name_H-M 'P 63/m m c'
_symmetry_Int_Tables_number 194
_symmetry_space_group_name_Hall '-P 6c 2c'
_cell_length_a 4.3942
_cell_length_b 4.3942
_cell_length_c 12.2558
_cell_angle_alpha 90.00
_cell_angle_beta 90.00
_cell_angle_gamma 120.00
loop_
_atom_site_label
_atom_site_type_symbol
_atom_site_fract_x
_atom_site_fract_y
_atom_site_fract_z
_atom_site_occupancy
Er1 Er 0.0000 0.0000 0.2500 1
Zn1 Zn 0.3333 0.6667 0.0820 1
Pd1 Pd 0.0000 0.0000 0.0000 1
Pd2 Pd 0.3333 0.6667 0.6306 1